# 1
CaBeSe4 | SCAN | PBEsol geometry

Calculated values
- E_form (uncorrected) (meV/atom) = 246
- mass density (g/cm3) = 4.62

Geometry as extended XYZ:
```
6
Lattice="5.703 0.000 0.000 2.851 4.939 0.000 2.851 1.646 4.656" Properties=species:S:1:pos:R:3 pbc="T T T"
Se 7.115 2.477 1.751
Se 5.703 3.292 4.058
Se 5.703 4.924 1.751
Se 4.290 2.477 1.751
Ca 0.000 0.000 0.000
Be 8.554 4.939 3.492
```


# 2
Sc3OsF | SCAN | PBEsol geometry

Calculated values
- E_form (uncorrected) (meV/atom) = -358
- mass density (g/cm3) = 4.55
- E above lowest polymorph (meV per atom) = 663.6

Geometry as extended XYZ:
```
5
Lattice="5.008 0.000 0.000 0.000 5.008 0.000 0.000 0.000 5.008" Properties=species:S:1:pos:R:3 pbc="T T T"
Sc 0.000 2.504 0.000
Sc 0.000 0.000 2.504
Sc 2.504 0.000 0.000
Os 0.000 0.000 0.000
F 2.504 2.504 2.504
```


# 3
RuSeIN2 | SCAN | PBEsol geometry

Calculated values
- E_form (uncorrected) (meV/atom) = 934
- mass density (g/cm3) = 6.85

Geometry as extended XYZ:
```
5
Lattice="3.862 0.000 0.000 0.000 3.862 0.000 0.000 0.000 5.445" Properties=species:S:1:pos:R:3 pbc="T T T"
I 1.931 1.931 2.723
N 0.000 1.931 0.000
N 1.931 0.000 0.000
Ru 0.000 0.000 0.000
Se 0.000 0.000 2.723
```


# 4
NaReS2 | SCAN | PBEsol geometry

Calculated values
- E_form (uncorrected) (meV/atom) = -223
- mass density (g/cm3) = 5.98

Geometry as extended XYZ:
```
4
Lattice="3.217 0.000 0.000 1.608 2.786 0.000 1.608 0.929 8.470" Properties=species:S:1:pos:R:3 pbc="T T T"
S 4.825 2.786 2.700
S 1.608 0.929 5.770
Na 0.000 0.000 0.000
Re 3.217 1.857 4.235
```


# 5
Pt2W2Au | SCAN | PBEsol geometry

Calculated values
- E_form (meV per atom) = 374.5
- mass density (g/cm3) = 18.46

Geometry as extended XYZ:
```
5
Lattice="3.725 0.000 0.000 0.000 3.725 0.000 -1.863 -1.863 6.190" Properties=species:S:1:pos:R:3 pbc="T T T"
Pt 0.000 1.863 3.095
Pt 1.863 0.000 3.095
W 1.863 1.863 1.210
W 0.000 0.000 4.980
Au 0.000 0.000 0.000
```


# 6
MnBe3 | SCAN | PBEsol geometry

Calculated values
- E_form (meV per atom) = -198.0
- mass density (g/cm3) = 4.08

Geometry as extended XYZ:
```
4
Lattice="-2.388 -1.861 1.094 0.555 -2.105 -2.371 2.086 -1.570 1.883" Properties=species:S:1:pos:R:3 pbc="T T T"
Be -0.151 -1.715 1.488
Be -0.916 -1.983 -0.638
Be 1.320 -1.838 -0.244
Mn 0.000 0.000 0.000
```


# 7
MnTe5 | SCAN | PBEsol geometry

Calculated values
- E_form (uncorrected) (meV/atom) = -172
- mass density (g/cm3) = 6.61

Geometry as extended XYZ:
```
6
Lattice="-0.294 0.118 4.009 1.044 -5.969 0.253 7.155 1.187 -1.527" Properties=species:S:1:pos:R:3 pbc="T T T"
Te 1.699 0.387 2.130
Te 2.578 -2.534 2.281
Te 5.327 -2.130 0.454
Te 5.162 0.918 0.352
Te 0.522 -2.985 0.126
Mn 0.000 0.000 0.000
```


# 8
ZnCl3 | SCAN | PBEsol geometry

Calculated values
- E_form (uncorrected) (meV/atom) = 69
- mass density (g/cm3) = 3.90

Geometry as extended XYZ:
```
4
Lattice="4.694 0.000 0.000 2.347 4.065 0.000 2.347 1.355 3.833" Properties=species:S:1:pos:R:3 pbc="T T T"
Cl 7.041 4.065 2.875
Cl 4.694 2.710 1.916
Cl 2.347 1.355 0.958
Zn 0.000 0.000 0.000
```


# 9
As2SeIO | SCAN | PBEsol geometry

Calculated values
- E_form (uncorrected) (meV/atom) = 1655
- mass density (g/cm3) = 4.01

Geometry as extended XYZ:
```
5
Lattice="-4.238 3.208 -0.396 -2.465 -2.777 3.883 2.131 3.270 3.692" Properties=species:S:1:pos:R:3 pbc="T T T"
O -2.286 1.851 3.590
As -1.233 -1.389 1.941
As 1.066 1.635 1.846
I 0.000 0.000 0.000
Se -2.119 1.604 -0.198
```


# 10
SiSbPt | SCAN | PBEsol geometry

Calculated values
- E_form (uncorrected) (meV/atom) = -611
- mass density (g/cm3) = 9.98

Geometry as extended XYZ:
```
24
Lattice="6.331 0.000 0.000 0.000 6.346 0.000 0.000 0.000 11.433" Properties=species:S:1:pos:R:3 pbc="T T T"
Sb 3.908 0.021 7.691
Sb 3.908 3.151 1.975
Sb 2.422 3.194 9.458
Sb 5.588 3.194 7.691
Sb 2.422 6.324 3.741
Sb 0.743 3.151 3.741
Sb 5.588 6.324 1.975
Sb 0.743 0.021 9.458
Si 5.401 1.673 10.584
Si 2.235 1.499 0.848
Si 4.096 4.672 4.868
Si 0.930 4.846 6.565
Si 5.401 1.499 4.868
Si 0.930 4.672 0.848
Si 4.096 4.846 10.584
Si 2.235 1.673 6.565
Pt 3.098 5.608 1.220
Pt 0.067 0.738 6.936
Pt 6.264 3.910 10.213
Pt 3.232 2.435 4.496
Pt 3.232 0.738 10.213
Pt 3.098 3.910 6.936
Pt 0.067 2.435 1.220
Pt 6.264 5.608 4.496
```


# 11
BeMoRh | SCAN | PBEsol geometry

Calculated values
- E_form (meV per atom) = 346.4
- mass density (g/cm3) = 8.68

Geometry as extended XYZ:
```
3
Lattice="3.831 0.000 0.000 1.915 3.317 0.000 1.915 1.106 3.128" Properties=species:S:1:pos:R:3 pbc="T T T"
Mo 0.000 0.000 0.000
Be 1.915 1.106 0.782
Rh 3.831 2.212 1.564
```


# 12
RePtCl2 | SCAN | PBEsol geometry

Calculated values
- E_form (uncorrected) (meV/atom) = 936
- mass density (g/cm3) = 12.09
- E above lowest polymorph (meV per atom) = 0.0

Geometry as extended XYZ:
```
4
Lattice="2.775 0.000 0.000 0.000 4.227 0.000 0.000 0.000 5.297" Properties=species:S:1:pos:R:3 pbc="T T T"
Re 0.000 2.113 2.648
Pt 1.387 2.113 0.000
Cl 1.387 0.000 2.648
Cl 0.000 0.000 0.000
```


Number 1: total DFT energy (no corrections) -92.86 eV/f.u.. Number 2: total DFT energy (no corrections) -119.92 eV/f.u.. Number 3: total DFT energy (no corrections) -105.56 eV/f.u.. Number 4: total DFT energy (no corrections) -95.46 eV/f.u.. Number 5: total DFT energy (no corrections) -347.05 eV/f.u.. Number 6: total DFT energy (no corrections) -32.11 eV/f.u.. Number 7: total DFT energy (no corrections) -205.55 eV/f.u.. Number 8: total DFT energy (no corrections) -37.17 eV/f.u.. Number 9: total DFT energy (no corrections) -95.16 eV/f.u.. Number 10: total DFT energy (no corrections) -119.30 eV/f.u.. Number 11: total DFT energy (no corrections) -71.97 eV/f.u.. Number 12: total DFT energy (no corrections) -153.50 eV/f.u..